No. 1
A relaxed Sr8Cr3N8 crystal, computed with PBEsol.

The calculation puts the energy at -259.8 eV/cell. For the magnetization, the calculation gives 1.099 μB/cell.

It has space group C2/m (No. 12), with a = 18.777 Å, b = 5.267 Å, c = 7.513 Å, α = 90.00°, β = 106.71° and γ = 90.00°. Symmetry generates all atoms from Sr at (0.029, 0.000, 0.267), Sr at (0.098, 0.500, 0.954), Sr at (0.167, 0.500, 0.468), Sr at (0.198, 0.000, 0.801), Cr at (0.000, 0.500, 0.500), Cr at (0.187, 0.000, 0.203), N at (0.026, 0.500, 0.291), N at (0.107, 0.000, 0.016), N at (0.180, 0.000, 0.424) and N at (0.226, 0.500, 0.833).

No. 2
A relaxed SrCrN2 crystal, computed with PBEsol.

The calculation puts the energy at -109.4 eV/cell. For the magnetization, the calculation gives 8.000 μB/cell.

It has space group Fm-3m (No. 225), with a = 5.771 Å, b = 5.771 Å, c = 5.771 Å, α = 90.00°, β = 90.00° and γ = 90.00°. Symmetry generates all atoms from Sr at (0.000, 0.000, 0.000), Cr at (0.000, 0.000, 0.500) and N at (0.250, 0.250, 0.250).

No. 3
A relaxed Sr9Cr2N8 crystal, computed with PBEsol.

The calculation puts the energy at -241.8 eV/cell. For the magnetization, the calculation gives 0.378 μB/cell.

It has space group C2/m (No. 12), with a = 19.901 Å, b = 5.179 Å, c = 8.293 Å, α = 90.00°, β = 111.69° and γ = 90.00°. Symmetry generates all atoms from Sr at (0.000, 0.000, 0.000), Sr at (0.039, 0.500, 0.740), Sr at (0.087, 0.000, 0.489), Sr at (0.174, 0.000, 0.949), Sr at (0.197, 0.500, 0.324), Cr at (0.191, 0.500, 0.698), N at (0.037, 0.000, 0.743), N at (0.114, 0.500, 0.515), N at (0.183, 0.500, 0.895) and N at (0.225, 0.000, 0.320).

No. 4
A relaxed Ta3Cr3N crystal, computed with PBEsol.

The calculation puts the energy at -1288.7 eV/cell. For the magnetization, the calculation gives 0.097 μB/cell.

It has space group Fd-3m (No. 227, origin choice 2), with a = 11.334 Å, b = 11.334 Å, c = 11.334 Å, α = 90.00°, β = 90.00° and γ = 90.00°. Symmetry generates all atoms from Ta at (0.068, 0.375, 0.375), Cr at (0.000, 0.000, 0.500), Cr at (0.047, 0.047, 0.703) and N at (0.000, 0.000, 0.000).

No. 5
A relaxed Cr3TcN crystal, computed with PBEsol.

The offset from the most stable computed form comes out at 0 meV per atom. For the magnetization, the calculation gives 0.000 μB/cell.

It has space group Pm-3m (No. 221), with a = 3.770 Å, b = 3.770 Å, c = 3.770 Å, α = 90.00°, β = 90.00° and γ = 90.00°. Symmetry generates all atoms from Cr at (0.000, 0.000, 0.500), Tc at (0.500, 0.500, 0.500) and N at (0.000, 0.000, 0.000).

No. 6
A relaxed Cr3TcN crystal, computed with PBEsol.

The offset from the most stable computed form comes out at 2685 meV per atom. For the magnetization, the calculation gives 8.265 μB/cell.

It has space group Pm-3m (No. 221), with a = 4.551 Å, b = 4.551 Å, c = 4.551 Å, α = 90.00°, β = 90.00° and γ = 90.00°. Symmetry generates all atoms from Cr at (0.000, 0.000, 0.500), Tc at (0.000, 0.000, 0.000) and N at (0.500, 0.500, 0.500).

No. 7
A relaxed ZnCrTc2N crystal, computed with PBEsol.

The calculation puts the energy at -37.2 eV/cell. For the magnetization, the calculation gives 0.001 μB/cell.

It has space group P4/mmm (No. 123), with a = 4.512 Å, b = 4.512 Å, c = 3.487 Å, α = 90.00°, β = 90.00° and γ = 90.00°. Symmetry generates all atoms from Zn at (0.000, 0.000, 0.000), Cr at (0.500, 0.500, 0.500), Tc at (0.000, 0.500, 0.500) and N at (0.500, 0.500, 0.000).

No. 8
A relaxed CrTe3N crystal, computed with PBEsol.

The calculation puts the energy at -22.6 eV/cell. For the magnetization, the calculation gives 4.778 μB/cell.

It has space group Pm-3m (No. 221), with a = 5.122 Å, b = 5.122 Å, c = 5.122 Å, α = 90.00°, β = 90.00° and γ = 90.00°. Symmetry generates all atoms from Cr at (0.000, 0.000, 0.000), Te at (0.000, 0.000, 0.500) and N at (0.500, 0.500, 0.500).

No. 9
A relaxed Ti2CrTeN crystal, computed with PBEsol.

The calculation puts the energy at -31.4 eV/cell. For the magnetization, the calculation gives 2.869 μB/cell.

It has space group P4/mmm (No. 123), with a = 5.066 Å, b = 5.066 Å, c = 4.074 Å, α = 90.00°, β = 90.00° and γ = 90.00°. Symmetry generates all atoms from Ti at (0.000, 0.500, 0.000), Cr at (0.000, 0.000, 0.500), Te at (0.500, 0.500, 0.000) and N at (0.500, 0.500, 0.500).

No. 10
A relaxed CrTe2WN crystal, computed with PBEsol.

The calculation puts the energy at -35.8 eV/cell. For the magnetization, the calculation gives 3.550 μB/cell.

It has space group P4/mmm (No. 123), with a = 5.165 Å, b = 5.165 Å, c = 3.455 Å, α = 90.00°, β = 90.00° and γ = 90.00°. Symmetry generates all atoms from Cr at (0.000, 0.000, 0.000), Te at (0.000, 0.500, 0.000), W at (0.500, 0.500, 0.500) and N at (0.000, 0.000, 0.500).

No. 11
A relaxed ZnCrTeN2 crystal, computed with PBEsol.

The calculation puts the energy at -30.4 eV/cell. For the magnetization, the calculation gives 0.002 μB/cell.

It has space group P4/mmm (No. 123), with a = 3.686 Å, b = 3.686 Å, c = 5.447 Å, α = 90.00°, β = 90.00° and γ = 90.00°. Symmetry generates all atoms from Zn at (0.000, 0.000, 0.000), Cr at (0.500, 0.500, 0.500), Te at (0.500, 0.500, 0.000) and N at (0.000, 0.500, 0.500).

No. 12
A relaxed ZrCrTeN2 crystal, computed with PBEsol.

The offset from the most stable computed form comes out at 0 meV per atom. For the magnetization, the calculation gives 0.001 μB/cell.

It has space group P4/mmm (No. 123), with a = 3.845 Å, b = 3.845 Å, c = 5.043 Å, α = 90.00°, β = 90.00° and γ = 90.00°. Symmetry generates all atoms from Zr at (0.000, 0.000, 0.000), Cr at (0.500, 0.500, 0.500), Te at (0.500, 0.500, 0.000) and N at (0.000, 0.500, 0.500).

Copy entry 12 word for word.
A relaxed ZrCrTeN2 crystal, computed with PBEsol.

The offset from the most stable computed form comes out at 0 meV per atom. For the magnetization, the calculation gives 0.001 μB/cell.

It has space group P4/mmm (No. 123), with a = 3.845 Å, b = 3.845 Å, c = 5.043 Å, α = 90.00°, β = 90.00° and γ = 90.00°. Symmetry generates all atoms from Zr at (0.000, 0.000, 0.000), Cr at (0.500, 0.500, 0.500), Te at (0.500, 0.500, 0.000) and N at (0.000, 0.500, 0.500).

Question: Which formula does entry 5 have?
Answer: Cr3TcN